Entry 1:
A plane-wave DFT calculation with PBE-GGA was carried out for a relaxed Cu2TcCl crystal.

- D(E_F) (states/eV/cell) = 6.1
- crystal system = tetragonal
- spin magnetization (μB/f.u.) = 2.09

Cell and atoms, written as CIF:
```
data_Cu2TcCl
_cell_length_a 7.066
_cell_length_b 7.066
_cell_length_c 5.562
_cell_angle_alpha 50.57
_cell_angle_beta 50.57
_cell_angle_gamma 90.00
_symmetry_space_group_name_H-M 'P 1'
_symmetry_Int_Tables_number 1
loop_
_symmetry_equiv_pos_as_xyz
'x,y,z'
loop_
_atom_site_label
_atom_site_fract_x
_atom_site_fract_y
_atom_site_fract_z
_atom_site_occupancy
Cu1 0.141 0.625 0.250 1
Cl1 0.250 0.750 0.500 1
Cu2 0.609 0.125 0.250 1
Tc1 0.000 0.000 0.000 1
Cl2 0.500 0.500 0.000 1
Tc2 0.750 0.250 0.500 1
Cu3 0.375 0.391 0.750 1
Cu4 0.875 0.859 0.750 1
```

***

Entry 2:
A plane-wave DFT calculation with PBE-GGA was carried out for a relaxed Cu2TcCl crystal.

- D(E_F) (states/eV/cell) = 2.5
- crystal system = tetragonal
- spin magnetization (μB/f.u.) = 0.00

Cell and atoms, written as CIF:
```
data_Cu2TcCl
_cell_length_a 2.871
_cell_length_b 2.871
_cell_length_c 7.773
_cell_angle_alpha 90.00
_cell_angle_beta 90.00
_cell_angle_gamma 90.00
_symmetry_space_group_name_H-M 'P 1'
_symmetry_Int_Tables_number 1
loop_
_symmetry_equiv_pos_as_xyz
'x,y,z'
loop_
_atom_site_label
_atom_site_fract_x
_atom_site_fract_y
_atom_site_fract_z
_atom_site_occupancy
Cl1 0.500 0.500 0.679 1
Tc1 0.000 0.000 0.480 1
Cu1 0.500 0.500 0.261 1
Cu2 0.000 0.000 0.080 1
```

***

Number 1: final energy -4.378 eV/atom. Number 2: final energy -4.702 eV/atom.